DFT (PBE) results for crystalline Gd5Al at its relaxed geometry.

Values from the calculation:
Calculated density (kg/m³): 6788
Calculated volume (Å³ per cell): 199

a = 6.3175 Å, b = 6.3175 Å, c = 5.7561 Å
α = 90.00°, β = 90.00°, γ = 120.00°
Last column: nearest neighbours and their distance in Å.
Atoms (fractional coordinates):
Al 0.0000 0.0000 0.0000  6 Gd 3.65
Gd 0.6667 0.3333 0.0000  9 Gd 3.41-3.65, 3 Al 3.65
Gd 0.3333 0.6667 0.0000  9 Gd 3.41-3.65, 3 Al 3.65
Gd 0.5000 0.0000 0.5000  8 Gd 3.16-3.41
Gd 0.0000 0.5000 0.5000  8 Gd 3.16-3.41
Gd 0.5000 0.5000 0.5000  8 Gd 3.16-3.41

=====

DFT (PBE) results for crystalline Li4AlCdCu2 at its relaxed geometry.

Values from the calculation:
Calculated density (kg/m³): 4393
Calculated volume (Å³ per cell): 111

a = 4.2818 Å, b = 4.2818 Å, c = 6.0668 Å
α = 90.00°, β = 90.00°, γ = 90.00°
Last column: nearest neighbours and their distance in Å.
Atoms (fractional coordinates):
Al 0.0000 0.0000 0.0000  4 Cu 2.54, 4 Li 2.61
Cd 0.5000 0.5000 0.5000  4 Li 2.64, 4 Cu 2.72
Cu 0.0000 0.5000 0.2243  4 Li 2.54-2.72, 2 Al 2.54, 2 Cd 2.72
Cu 0.5000 0.0000 0.7757  4 Li 2.54-2.72, 2 Al 2.54, 2 Cd 2.72
Li 0.5000 0.5000 0.0000  4 Cu 2.54, 4 Li 2.61
Li 0.5000 0.0000 0.2446  4 Li 2.61-2.64, 2 Al 2.61, 2 Cd 2.64, 1 Cu 2.85
Li 0.0000 0.0000 0.5000  4 Li 2.64, 4 Cu 2.72
Li 0.0000 0.5000 0.7554  4 Li 2.61-2.64, 2 Al 2.61, 2 Cd 2.64, 1 Cu 2.85

=====

DFT (PBE) results for crystalline BaCdO2 at its relaxed geometry.

Values from the calculation:
Calculated density (kg/m³): 6221
Calculated volume (Å³ per cell): 150

a = 5.5008 Å, b = 5.5008 Å, c = 5.3136 Å
α = 90.00°, β = 90.00°, γ = 110.70°
Last column: nearest neighbours and their distance in Å.
Atoms (fractional coordinates):
Ba 0.3566 0.6434 0.2500  4 O 2.74-2.76
Ba 0.6434 0.3566 0.7500  4 O 2.74-2.76
Cd 0.0000 0.0000 0.0000  4 O 2.26
Cd 0.0000 0.0000 0.5000  4 O 2.26
O 0.3538 0.1398 0.2500  2 Cd 2.26
O 0.8602 0.6462 0.2500  2 Cd 2.26
O 0.1398 0.3538 0.7500  2 Cd 2.26
O 0.6462 0.8602 0.7500  2 Cd 2.26

=====

DFT (PBE) results for crystalline Pm12MgCo6 at its relaxed geometry.

Values from the calculation:
Calculated density (kg/m³): 7150
Calculated volume (Å³ per cell): 492

a = 8.6130 Å, b = 8.6130 Å, c = 8.6130 Å
α = 109.47°, β = 109.47°, γ = 109.47°
Last column: nearest neighbours and their distance in Å.
Atoms (fractional coordinates):
Co 0.5000 0.6112 0.1112  1 Co 2.21
Co 0.8888 0.5000 0.3888  1 Co 2.21
Co 0.6112 0.1112 0.5000  1 Co 2.21
Co 0.3888 0.8888 0.5000  1 Co 2.21
Co 0.1112 0.5000 0.6112  1 Co 2.21
Co 0.5000 0.3888 0.8888  1 Co 2.21
Mg 0.0000 0.0000 0.0000  12 Pm 3.62
Pm 0.3073 0.8053 0.1126  3 Co 2.72-2.94
Pm 0.5020 0.3073 0.1947  3 Co 2.72-2.94
Pm 0.8874 0.6927 0.1947  3 Co 2.72-2.94
Pm 0.8053 0.1126 0.3073  3 Co 2.72-2.94
Pm 0.1947 0.5020 0.3073  3 Co 2.72-2.94
Pm 0.6927 0.8053 0.4980  3 Co 2.72-2.94
Pm 0.3073 0.1947 0.5020  3 Co 2.72-2.94
Pm 0.1947 0.8874 0.6927  3 Co 2.72-2.94
Pm 0.8053 0.4980 0.6927  3 Co 2.72-2.94
Pm 0.1126 0.3073 0.8053  3 Co 2.72-2.94
Pm 0.4980 0.6927 0.8053  3 Co 2.72-2.94
Pm 0.6927 0.1947 0.8874  3 Co 2.72-2.94

=====

no.,raw total energy (eV per atom)
1,-3.961
2,-2.619
3,-4.732
4,-5.432